# NpGaAu4 PBE-GGA relaxed
# * distance to the lowest polymorph of the same formula: 0 meV per atom
# * E: -4.94 eV per atom
# * total moment: 16.87 μB per cell
data_NpGaAu4
_cell_length_a 10.455
_cell_length_b 4.971
_cell_length_c 9.788
_cell_angle_alpha 90.00
_cell_angle_beta 95.06
_cell_angle_gamma 90.00
_space_group_name_H-M_alt 'C 1 2/c 1'
_space_group_IT_number 15
loop_
_space_group_symop_operation_xyz
'x,y,z'
'-x,-y,-z'
'-x,y,-z+1/2'
'x,-y,z+1/2'
'x+1/2,y+1/2,z'
'-x+1/2,-y+1/2,-z'
'-x+1/2,y+1/2,-z+1/2'
'x+1/2,-y+1/2,z+1/2'
loop_
_atom_site_label
_atom_site_fract_x
_atom_site_fract_y
_atom_site_fract_z
Np1 0.000 0.249 0.250
Ga1 0.250 0.250 0.500
Au1 0.018 0.250 0.565
Au2 0.209 0.253 0.807